{"formula": "PaMnPdO6", "functional": "GGA+U", "state": "optimized geometry", "dft_energy_ev_per_atom": -7.58, "cell": [[5.334, 0.000, 0.000], [-2.667, 4.619, 0.000], [0.000, 0.000, 9.070]], "species": ["O", "O", "Mn", "O", "O", "Pd", "O", "O", "O", "O", "Pa", "Pa", "O", "O", "Pd", "O", "Mn", "O"], "frac_coords": [[0.678, 0.017, 0.375], [0.322, 0.983, 0.625], [0.000, 0.000, 0.500], [0.678, 0.660, 0.125], [0.017, 0.340, 0.625], [0.333, 0.667, 0.750], [0.660, 0.983, 0.875], [0.983, 0.322, 0.125], [0.322, 0.340, 0.875], [0.340, 0.017, 0.125], [0.667, 0.333, 0.750], [0.333, 0.667, 0.250], [0.983, 0.660, 0.375], [0.017, 0.678, 0.875], [0.667, 0.333, 0.250], [0.340, 0.322, 0.375], [0.000, 0.000, 0.000], [0.660, 0.678, 0.625]]}